TiMn2BeF | PBE+U | optimized geometry

Computed properties:
raw total energy	-28.2	eV per formula unit
size of the total moment	1.535	μB/atom

abc: 4.342 4.187 4.342
angles: 90.00 90.00 90.00
Site moments in Bohr magnetons follow the coordinates.
Element x y z (fractional)
Be: 0.500 0.500 0.500  -0.04
Mn: 0.000 0.000 0.500  4.42
Mn: 0.500 0.000 0.000  4.42
F: 0.000 0.000 0.000  0.07
Ti: 0.000 0.500 0.000  -1.22